Record 1
A plane-wave DFT calculation with PBE-GGA was carried out for a relaxed K2CdInSe4 crystal.

extended XYZ file:
```
8
Lattice="7.3043 0.0000 0.0000 3.6522 5.6784 0.0000 3.6522 0.0000 5.6784" Properties=species:S:1:pos:R:3 pbc="T T T"
K 3.6522 2.8392 2.8392
K 7.3043 2.8392 2.8392
Cd 0.0000 0.0000 0.0000
In 3.6522 0.0000 0.0000
Se 1.8748 1.9450 0.0000
Se 9.0817 0.0000 3.7334
Se 5.4295 0.0000 1.9450
Se 5.5269 3.7334 0.0000
```

Results
Size of the total moment in μB per cell: 0.00
Uncorrected formation energy in eV/atom: -0.75
SG: I-42m


Record 2
A plane-wave DFT calculation with PBE-GGA was carried out for a relaxed K2Cd3InSn4 crystal.

extended XYZ file:
```
10
Lattice="-3.0147 -3.6061 1.3148 3.2893 -1.5656 3.2482 -5.1698 7.5590 8.8785" Properties=species:S:1:pos:R:3 pbc="T T T"
K -2.8080 0.0986 2.8910
K -2.2246 4.8746 8.2690
Cd -2.5849 3.7795 4.4393
Cd -5.9508 4.6939 8.2884
Cd 0.9183 0.2793 2.8716
In -2.4476 1.1937 6.7208
Sn 0.1373 -2.5859 2.2815
Sn 0.0000 0.0000 0.0000
Sn -4.7944 3.0030 6.3024
Sn -0.2382 1.9702 4.8576
```

Results
Size of the total moment in μB per cell: 0.00
SG: P-4m2
Formation energy in eV per atom: -0.162


Record 3
A plane-wave DFT calculation with PBE-GGA was carried out for a relaxed KCdIn2Sn crystal.

extended XYZ file:
```
5
Lattice="-0.0557 4.6619 -1.6414 -3.0337 1.2637 3.6919 6.5339 -1.6213 2.6153" Properties=species:S:1:pos:R:3 pbc="T T T"
K 0.0000 0.0000 0.0000
Cd 0.9778 1.3025 3.6662
In -0.4077 3.2685 1.8549
In 3.8522 1.0357 2.8109
Sn 2.4668 3.0017 0.9996
```

Results
Size of the total moment in μB per cell: 0.00
SG: I-4m2
Formation energy in eV per atom: -0.124


Record 4
A plane-wave DFT calculation with PBE-GGA was carried out for a relaxed KCdInSn2 crystal.

extended XYZ file:
```
5
Lattice="-5.0797 0.2518 0.3210 -0.3964 -3.9959 -3.1377 2.8530 -1.8774 6.1686" Properties=species:S:1:pos:R:3 pbc="T T T"
K 0.0000 0.0000 0.0000
Cd -0.1407 -3.8726 0.8113
In -2.4824 -1.7488 2.5406
Sn -2.7107 -2.7641 -0.2758
Sn 0.0876 -2.8573 3.6277
```

Results
Size of the total moment in μB per cell: 0.00
SG: I-4m2
Formation energy in eV per atom: -0.159


Record 5
A plane-wave DFT calculation with PBE-GGA was carried out for a relaxed K2Cd4In3Sn crystal.

extended XYZ file:
```
10
Lattice="4.9170 0.0000 0.0000 0.0000 4.9170 0.0000 0.0000 0.0000 12.5376" Properties=species:S:1:pos:R:3 pbc="T T T"
K 2.4585 0.0000 3.1197
K 0.0000 2.4585 9.4179
Cd 2.4585 2.4585 0.0000
Cd 0.0000 0.0000 0.0000
Cd 2.4585 0.0000 8.0121
Cd 0.0000 2.4585 4.5254
In 0.0000 0.0000 6.2688
In 2.4585 0.0000 10.8879
In 0.0000 2.4585 1.6497
Sn 2.4585 2.4585 6.2688
```

Results
Size of the total moment in μB per cell: 0.00
SG: P-4m2
Formation energy in eV per atom: -0.097


Record 6
A plane-wave DFT calculation with PBE-GGA was carried out for a relaxed K2CdIn3Sn4 crystal.

extended XYZ file:
```
10
Lattice="-1.3982 -4.5563 1.8864 -1.3470 -1.5333 -4.7019 11.2444 -4.2151 -1.8467" Properties=species:S:1:pos:R:3 pbc="T T T"
K 2.1547 -3.3479 0.4745
K 7.7172 -3.9120 -3.7289
Cd 4.2496 -5.1524 -2.3311
In 5.6222 -2.1075 -0.9233
In 9.0476 -5.9318 -0.6575
In 0.8243 -1.3281 -2.5969
Sn -1.3726 -3.0448 -1.4077
Sn 0.0000 0.0000 0.0000
Sn 6.3822 -4.9326 -0.2197
Sn 3.4897 -2.3273 -3.0346
```

Results
Size of the total moment in μB per cell: 0.00
SG: P-4m2
Formation energy in eV per atom: -0.152


Record 7
A plane-wave DFT calculation with PBE-GGA was carried out for a relaxed K2SrCdIn crystal.

extended XYZ file:
```
5
Lattice="-3.6460 6.9231 0.0467 -3.9137 -2.0907 4.3846 4.8818 2.5334 5.5655" Properties=species:S:1:pos:R:3 pbc="T T T"
Sr 0.0000 0.0000 0.0000
K 2.4409 1.2667 2.7827
K -1.8230 3.4615 0.0233
Cd -1.3389 3.6829 4.9984
In -1.9568 -1.0453 2.1923
```

Results
Size of the total moment in μB per cell: 0.89
SG: P4/mmm
Formation energy in eV per atom: 0.514


Record 8
A plane-wave DFT calculation with PBE-GGA was carried out for a relaxed KSrCdIn crystal.

extended XYZ file:
```
4
Lattice="5.8383 0.0000 0.0000 2.9192 5.0561 0.0000 2.9192 1.6854 4.7670" Properties=species:S:1:pos:R:3 pbc="T T T"
Sr 5.8383 3.3708 2.3835
K 0.0000 0.0000 0.0000
Cd 8.7575 5.0561 3.5752
In 2.9192 1.6854 1.1917
```

Results
Size of the total moment in μB per cell: 0.00
SG: F-43m
Formation energy in eV per atom: -0.116


Record 9
A plane-wave DFT calculation with PBE-GGA was carried out for a relaxed K2CdInTc crystal.

extended XYZ file:
```
5
Lattice="-6.2361 1.2702 0.0106 -0.3923 -1.8845 -4.9595 -1.1803 -5.8144 2.3027" Properties=species:S:1:pos:R:3 pbc="T T T"
K -0.5902 -2.9072 1.1513
K -3.1181 0.6351 0.0053
Cd 0.0000 0.0000 0.0000
Tc -3.9044 -3.2143 -1.3231
In -0.1961 -0.9422 -2.4797
```

Results
Size of the total moment in μB per cell: 3.97
SG: P4/mmm
Formation energy in eV per atom: 1.164


Record 10
A plane-wave DFT calculation with PBE-GGA was carried out for a relaxed KCd2InTe4 crystal.

extended XYZ file:
```
8
Lattice="7.1729 0.0000 0.0000 3.5864 7.0318 1.6010 3.5864 2.1719 6.8769" Properties=species:S:1:pos:R:3 pbc="T T T"
K 0.0000 0.0000 0.0000
Cd 3.5864 2.3017 2.1202
Cd 10.7593 6.9020 6.3577
In 7.1729 4.6018 4.2389
Te 5.5901 2.2604 4.2347
Te 5.5901 6.9433 4.2432
Te 8.7557 4.4057 1.9057
Te 8.7557 4.7979 6.5722
```

Results
Size of the total moment in μB per cell: 0.00
Uncorrected formation energy in eV/atom: -0.50
SG: I-42m


Record 11
A plane-wave DFT calculation with PBE-GGA was carried out for a relaxed KTlCdIn crystal.

extended XYZ file:
```
4
Lattice="5.5225 0.0000 0.0000 2.7612 4.7826 0.0000 2.7612 1.5942 4.5091" Properties=species:S:1:pos:R:3 pbc="T T T"
Tl 8.2837 4.7826 3.3818
Cd 2.7612 1.5942 1.1273
K 5.5225 3.1884 2.2545
In 0.0000 0.0000 0.0000
```

Results
Size of the total moment in μB per cell: 0.00
SG: F-43m
Formation energy in eV per atom: -0.022
Distance to the lowest polymorph of the same formula in eV/f.u.: 0.15


Record 12
A plane-wave DFT calculation with PBE-GGA was carried out for a relaxed K2TlCd4In3 crystal.

extended XYZ file:
```
10
Lattice="-2.8490 -3.9172 -0.7130 3.8786 -2.5324 -1.5852 2.3511 -3.8871 11.9622" Properties=species:S:1:pos:R:3 pbc="T T T"
K -0.8430 -2.9201 2.6025
K 3.7088 -4.1918 8.2106
Tl 1.6903 -5.1684 4.8320
Cd 0.5148 -3.2248 -1.1491
Cd 0.0000 0.0000 0.0000
Cd 0.0863 -4.4565 7.3305
Cd 2.7796 -2.6555 3.4827
In 1.1755 -1.9436 5.9811
In 0.6175 -5.3348 10.0335
In 2.2483 -1.7771 0.7797
```

Results
Size of the total moment in μB per cell: 0.00
SG: P-4m2
Formation energy in eV per atom: -0.076


Computed values of total energy (unit: eV per atom) for the preceding records, in sequence: -3.224, -2.531, -2.423, -2.711, -1.904, -2.885, -0.992, -1.725, -2.079, -2.782, -1.801, -1.720.